# 1
## ThCu6Ni6 (GGA-PBE)

Data for a relaxed ThCu6Ni6 crystal.

ΔH_f (0 K) in kcal/mol of atoms: -3.23
Final energy in eV/atom: -5.27
DOS at the Fermi energy in states/eV per cell: 9.24
Offset from the most stable computed form in meV/atom: 0.0

Structure (POSCAR):
```
ThCu6Ni6
1.0
4.457 0.000 1.782
2.197 5.915 0.969
0.033 -0.057 6.384
Th Cu Ni
1 6 6
Direct
0.000 0.000 0.000 Th
0.356 0.644 0.644 Cu
0.644 0.356 0.356 Cu
0.000 0.352 0.648 Cu
0.000 0.648 0.352 Cu
0.275 0.225 0.225 Cu
0.725 0.775 0.775 Cu
0.000 0.500 0.000 Ni
0.500 0.500 0.000 Ni
0.000 0.000 0.500 Ni
0.500 0.000 0.500 Ni
0.500 0.780 0.220 Ni
0.500 0.220 0.780 Ni
```

---

# 2
## ThCu2Ni5 (GGA-PBE)

Data for a relaxed ThCu2Ni5 crystal.

ΔH_f (0 K) in kcal/mol of atoms: -1.59
Final energy in eV/atom: -5.63
DOS at the Fermi energy in states/eV per cell: 10.04

Structure (POSCAR):
```
ThCu2Ni5
1.0
3.693 0.000 0.000
1.847 5.711 0.552
1.847 1.592 5.512
Th Cu Ni
1 2 5
Direct
0.000 0.000 0.000 Th
0.755 0.745 0.745 Cu
0.245 0.255 0.255 Cu
0.000 0.500 0.500 Ni
0.630 0.557 0.182 Ni
0.370 0.443 0.818 Ni
0.370 0.818 0.443 Ni
0.630 0.182 0.557 Ni
```